[1]
Computed, not measured: a relaxed structure of LaPmAgAs at the PBE level of DFT.

```
4
Lattice="5.259 0.000 0.000 2.630 4.555 0.000 2.630 1.518 4.294" Properties=species:S:1:pos:R:3 pbc="T T T"
As 0.000 0.000 0.000
La 7.889 4.555 3.221
Ag 5.259 3.037 2.147
Pm 2.630 1.518 1.074
```

E ... -19.91 eV per cell
Crystal system ... cubic
Total magnetization ... 0.0 Bohr magnetons per cell

***

[2]
Computed, not measured: a relaxed structure of La2AgAs3Pt4 at the PBE level of DFT.

```
10
Lattice="4.403 0.000 0.000 0.000 4.403 0.000 0.000 0.000 10.514" Properties=species:S:1:pos:R:3 pbc="T T T"
La 2.202 0.000 2.567
La 0.000 2.202 7.947
Ag 2.202 2.202 5.257
As 0.000 0.000 5.257
As 2.202 0.000 9.181
As 0.000 2.202 1.333
Pt 2.202 2.202 0.000
Pt 0.000 0.000 0.000
Pt 2.202 0.000 6.758
Pt 0.000 2.202 3.756
```

E ... -59.06 eV per cell
Crystal system ... tetragonal
Total magnetization ... 0.0 Bohr magnetons per cell

***

[3]
Computed, not measured: a relaxed structure of La2AgAsRu at the PBE level of DFT.

```
5
Lattice="5.744 0.000 0.000 0.000 4.584 0.000 0.000 0.000 5.744" Properties=species:S:1:pos:R:3 pbc="T T T"
Ru 2.872 2.292 2.872
As 0.000 2.292 0.000
Ag 0.000 0.000 0.000
La 0.000 0.000 2.872
La 2.872 0.000 0.000
```

E ... -23.60 eV per cell
Crystal system ... tetragonal
Total magnetization ... 1.0 Bohr magnetons per cell